The following is a PBE calculation of a geometry-optimized CrCuNi5 structure, from the Alexandria database.

Results
For the energy of formation from the pure elements, the calculation gives 1.132 eV/f.u. The calculation puts the density of states at the Fermi level at 1.264 states/eV per atom.

a = 3.5206 Å, b = 3.5206 Å, c = 6.7395 Å
α = 90.00°, β = 90.00°, γ = 90.00°
Last column: magnetic moment on the atom in μB.
Element x y z (fractional)
1 Cr 0.0000 0.0000 0.5000  0.11
2 Ni 0.0000 0.5000 0.7520  -0.06
3 Ni 0.5000 0.5000 0.5000  -0.07
4 Cu 0.5000 0.5000 0.0000  -0.01
5 Ni 0.0000 0.5000 0.2480  -0.06
6 Ni 0.5000 0.0000 0.2480  -0.06
7 Ni 0.5000 0.0000 0.7520  -0.06



The following is a PBE calculation of a geometry-optimized Cr2CuNi structure, from the Alexandria database.

Results
For the energy of formation from the pure elements, the calculation gives 2.791 eV/f.u. The calculation puts the density of states at the Fermi level at 1.155 states/eV per atom.

a = 6.5214 Å, b = 6.5214 Å, c = 5.1707 Å
α = 50.90°, β = 50.90°, γ = 90.00°
Element x y z (fractional)
1 Cr 0.1437 0.6250 0.2500
2 Cr 0.3750 0.3937 0.7500
3 Cr 0.8750 0.8563 0.7500
4 Cu 0.0000 0.0000 0.0000
5 Cr 0.6063 0.1250 0.2500
6 Ni 0.2500 0.7500 0.5000
7 Ni 0.5000 0.5000 0.0000
8 Cu 0.7500 0.2500 0.5000



The following is a PBE calculation of a geometry-optimized CrCu2Ni structure, from the Alexandria database.

Results
For the energy of formation from the pure elements, the calculation gives 0.661 eV/f.u. The calculation puts the density of states at the Fermi level at 0.937 states/eV per atom.

a = 3.6022 Å, b = 2.5286 Å, c = 5.7629 Å
α = 64.02°, β = 90.00°, γ = 90.00°
Last column: magnetic moment on the atom in μB.
Element x y z (fractional)
1 Cr 0.5000 0.7616 0.7382  1.78
2 Cu 0.0000 0.9938 0.0065  0.08
3 Ni 0.0000 0.4921 0.5078  0.23
4 Cu 0.5000 0.2525 0.2476  0.06



The following is a PBE calculation of a geometry-optimized CrCu2Ni structure, from the Alexandria database.

Results
For the energy of formation from the pure elements, the calculation gives 0.667 eV/f.u. The calculation puts the density of states at the Fermi level at 1.392 states/eV per atom.

a = 4.5672 Å, b = 4.5672 Å, c = 4.5672 Å
α = 133.92°, β = 134.16°, γ = 67.02°
Last column: magnetic moment on the atom in μB.
Element x y z (fractional)
1 Ni 0.7500 0.2500 0.5000  0.25
2 Cu 0.0002 0.0002 0.0000  0.08
3 Cr 0.2500 0.7500 0.5000  2.82
4 Cu 0.4998 0.4998 0.0000  0.08



The following is a PBE calculation of a geometry-optimized CrCu3Ni12 structure, from the Alexandria database.

Results
For the energy of formation from the pure elements, the calculation gives 0.353 eV/f.u. The calculation puts the density of states at the Fermi level at 1.451 states/eV per atom.

a = 3.5345 Å, b = 3.5345 Å, c = 14.1673 Å
α = 90.00°, β = 90.00°, γ = 90.00°
Last column: magnetic moment on the atom in μB.
Element x y z (fractional)
1 Cr 0.0000 0.0000 0.0000  -1.30
2 Ni 0.5000 0.5000 0.0000  -0.06
3 Ni 0.5000 0.5000 0.2495  -0.50
4 Ni 0.5000 0.0000 0.8775  -0.17
5 Ni 0.0000 0.5000 0.6252  -0.54
6 Ni 0.5000 0.0000 0.1225  -0.17
7 Cu 0.0000 0.0000 0.7502  -0.03
8 Ni 0.5000 0.0000 0.3748  -0.54
9 Ni 0.5000 0.0000 0.6252  -0.54
10 Cu 0.0000 0.0000 0.2498  -0.03
11 Ni 0.5000 0.5000 0.5000  -0.52
12 Ni 0.0000 0.5000 0.3748  -0.54
13 Cu 0.0000 0.0000 0.5000  -0.04
14 Ni 0.5000 0.5000 0.7505  -0.50
15 Ni 0.0000 0.5000 0.8775  -0.17
16 Ni 0.0000 0.5000 0.1225  -0.17



The following is a PBE calculation of a geometry-optimized Cr2CuNi structure, from the Alexandria database.

Results
For the energy of formation from the pure elements, the calculation gives 0.535 eV/f.u. The calculation puts the density of states at the Fermi level at 0.849 states/eV per atom.

a = 2.4488 Å, b = 2.4488 Å, c = 7.6505 Å
α = 90.00°, β = 90.00°, γ = 90.00°
Element x y z (fractional)
1 Cr 0.0000 0.0000 0.9846
2 Ni 0.5000 0.5000 0.7559
3 Cu 0.0000 0.0000 0.5079
4 Cr 0.5000 0.5000 0.2516



The following is a PBE calculation of a geometry-optimized Cr2CuNi structure, from the Alexandria database.

Results
For the energy of formation from the pure elements, the calculation gives 0.789 eV/f.u. The calculation puts the density of states at the Fermi level at 1.448 states/eV per atom.

a = 4.5974 Å, b = 4.5974 Å, c = 4.5974 Å
α = 136.42°, β = 136.36°, γ = 63.38°
Element x y z (fractional)
1 Cr 0.0000 0.0000 0.0000
2 Cu 0.2500 0.7500 0.5000
3 Cr 0.5000 0.5000 0.0000
4 Ni 0.7500 0.2500 0.5000



The following is a PBE calculation of a geometry-optimized CrCu2Ni structure, from the Alexandria database.

Results
For the energy of formation from the pure elements, the calculation gives 0.516 eV/f.u. The calculation puts the density of states at the Fermi level at 0.981 states/eV per atom.

a = 8.4900 Å, b = 8.4900 Å, c = 8.4900 Å
α = 17.11°, β = 17.11°, γ = 17.11°
Element x y z (fractional)
1 Ni 0.4988 0.4988 0.4988
2 Cu 0.9997 0.9997 0.9997
3 Cu 0.2490 0.2490 0.2490
4 Cr 0.7525 0.7525 0.7525



> Which formula does entry 1 have?

CrCuNi5



> The highest energy of formation from the pure elements belongs to which entry?

number 2



> The lowest energy of formation from the pure elements belongs to which entry?

CrCu3Ni12